(1)
A plane-wave DFT calculation with SCAN was carried out for a PBEsol-optimized structure of CrReO4.

Lattice parameters (Å, degrees): 2.819 4.639 4.639 92.00 90.00 90.00
Fractional coordinates of all 6 atoms:
Re (0.000, 0.000, 0.000)
O (0.500, 0.213, 0.787)
O (0.500, 0.787, 0.213)
O (0.000, 0.298, 0.298)
O (0.000, 0.702, 0.702)
Cr (0.500, 0.500, 0.500)

Results
As for the electronic total energy: -21.01 eV/atom. For the density, the calculation gives 8.279 g/cm³. The spin magnetization comes out at 2.0 Bohr magnetons per cell. The calculation puts the energy above the most stable polymorph in this dataset at 58.0 meV per atom.


(2)
A plane-wave DFT calculation with SCAN was carried out for a PBEsol-optimized structure of CrReO4.

Lattice parameters (Å, degrees): 5.437 5.437 5.437 75.89 72.69 117.31
Fractional coordinates of all 12 atoms:
Cr (0.500, 0.500, 0.000)
Cr (0.000, 0.000, 0.000)
Re (0.726, 0.226, 0.500)
Re (0.274, 0.774, 0.500)
O (0.000, 0.692, 0.308)
O (0.500, 0.224, 0.276)
O (0.000, 0.308, 0.692)
O (0.500, 0.776, 0.724)
O (0.045, 0.244, 0.200)
O (0.556, 0.756, 0.200)
O (0.444, 0.244, 0.800)
O (0.955, 0.756, 0.800)

Results
As for the electronic total energy: -21.05 eV/atom. For the density, the calculation gives 8.233 g/cm³. The spin magnetization comes out at 5.2 Bohr magnetons per cell. The calculation puts the energy above the most stable polymorph in this dataset at 22.6 meV per atom.


(3)
A plane-wave DFT calculation with SCAN was carried out for a PBEsol-optimized structure of CrReO4.

Lattice parameters (Å, degrees): 4.651 5.399 5.399 116.61 91.56 88.44
Fractional coordinates of all 12 atoms:
Cr (0.493, 0.738, 0.262)
Cr (0.507, 0.262, 0.738)
Re (0.000, 0.223, 0.223)
Re (0.000, 0.777, 0.777)
O (0.812, 0.405, 0.595)
O (0.188, 0.595, 0.405)
O (0.214, 0.120, 0.880)
O (0.786, 0.880, 0.120)
O (0.306, 0.613, 0.907)
O (0.694, 0.907, 0.613)
O (0.694, 0.387, 0.093)
O (0.306, 0.093, 0.387)

Results
As for the electronic total energy: -21.07 eV/atom. For the density, the calculation gives 8.286 g/cm³. The spin magnetization comes out at 5.6 Bohr magnetons per cell. The calculation puts the energy above the most stable polymorph in this dataset at 0.0 meV per atom.


(4)
A plane-wave DFT calculation with SCAN was carried out for a PBEsol-optimized structure of Cr3RuO.

Lattice parameters (Å, degrees): 3.769 3.769 3.769 90.00 90.00 90.00
Fractional coordinates of all 5 atoms:
Ru (0.500, 0.500, 0.500)
O (0.000, 0.000, 0.000)
Cr (0.000, 0.500, 0.000)
Cr (0.000, 0.000, 0.500)
Cr (0.500, 0.000, 0.000)

Results
As for the electronic total energy: -19.54 eV/atom. For the density, the calculation gives 8.469 g/cm³. The spin magnetization comes out at 0.0 Bohr magnetons per cell.


(5)
A plane-wave DFT calculation with SCAN was carried out for a PBEsol-optimized structure of CrTeRu2O.

Lattice parameters (Å, degrees): 3.446 4.653 4.653 90.00 90.00 90.00
Fractional coordinates of all 5 atoms:
Ru (0.000, 0.000, 0.500)
Ru (0.000, 0.500, 0.000)
Te (0.500, 0.500, 0.500)
O (0.500, 0.000, 0.000)
Cr (0.000, 0.000, 0.000)

Results
As for the electronic total energy: -26.06 eV/atom. For the density, the calculation gives 8.853 g/cm³. The spin magnetization comes out at 0.0 Bohr magnetons per cell.


(6)
A plane-wave DFT calculation with SCAN was carried out for a PBEsol-optimized structure of CrSO4.

Lattice parameters (Å, degrees): 4.767 4.767 6.717 90.00 90.00 113.55
Fractional coordinates of all 12 atoms:
Cr (0.000, 0.000, 0.500)
Cr (0.000, 0.000, 0.000)
S (0.652, 0.348, 0.750)
S (0.348, 0.652, 0.250)
O (0.307, 0.223, 0.750)
O (0.223, 0.307, 0.250)
O (0.777, 0.693, 0.750)
O (0.693, 0.777, 0.250)
O (0.754, 0.246, 0.567)
O (0.754, 0.246, 0.933)
O (0.246, 0.754, 0.067)
O (0.246, 0.754, 0.433)

Results
As for the electronic total energy: -10.55 eV/atom. For the density, the calculation gives 3.514 g/cm³. The spin magnetization comes out at 8.0 Bohr magnetons per cell.


(7)
A plane-wave DFT calculation with SCAN was carried out for a PBEsol-optimized structure of Cr2SO.

Lattice parameters (Å, degrees): 5.876 5.876 5.876 67.92 133.47 133.47
Fractional coordinates of all 8 atoms:
Cr (0.933, 0.558, 0.125)
Cr (0.067, 0.192, 0.625)
Cr (0.567, 0.375, 0.442)
Cr (0.433, 0.875, 0.808)
S (0.000, 0.000, 0.000)
S (0.500, 0.750, 0.250)
O (0.000, 0.500, 0.500)
O (0.500, 0.250, 0.750)

Results
As for the electronic total energy: -14.15 eV/atom. For the density, the calculation gives 4.807 g/cm³. The spin magnetization comes out at 11.2 Bohr magnetons per cell.


(8)
A plane-wave DFT calculation with SCAN was carried out for a PBEsol-optimized structure of CrSbO2.

Lattice parameters (Å, degrees): 3.093 3.093 6.687 76.63 76.63 60.00
Fractional coordinates of all 4 atoms:
Sb (0.000, 0.000, 0.000)
O (0.882, 0.882, 0.354)
O (0.118, 0.118, 0.646)
Cr (0.500, 0.500, 0.500)

Results
As for the electronic total energy: -18.76 eV/atom. For the density, the calculation gives 6.399 g/cm³. The spin magnetization comes out at 3.0 Bohr magnetons per cell.


(9)
A plane-wave DFT calculation with SCAN was carried out for a PBEsol-optimized structure of Tb2CrSbO7.

Lattice parameters (Å, degrees): 7.175 7.189 7.189 60.52 60.07 60.07
Fractional coordinates of all 22 atoms:
Tb (0.500, 0.000, 0.500)
Tb (0.000, 0.000, 0.500)
Tb (0.000, 0.000, 0.000)
Tb (0.000, 0.500, 0.500)
Cr (0.000, 0.500, 0.000)
Cr (0.500, 0.500, 0.000)
Sb (0.500, 0.500, 0.500)
Sb (0.500, 0.000, 0.000)
O (0.127, 0.123, 0.623)
O (0.873, 0.877, 0.377)
O (0.837, 0.413, 0.913)
O (0.416, 0.834, 0.334)
O (0.833, 0.413, 0.334)
O (0.420, 0.834, 0.913)
O (0.420, 0.413, 0.334)
O (0.833, 0.834, 0.913)
O (0.163, 0.587, 0.087)
O (0.584, 0.166, 0.666)
O (0.167, 0.587, 0.666)
O (0.580, 0.166, 0.087)
O (0.580, 0.587, 0.666)
O (0.167, 0.166, 0.087)

Results
As for the electronic total energy: -20.48 eV/atom. For the density, the calculation gives 7.607 g/cm³. The spin magnetization comes out at 6.0 Bohr magnetons per cell.


(10)
A plane-wave DFT calculation with SCAN was carried out for a PBEsol-optimized structure of TiCrSbO6.

Lattice parameters (Å, degrees): 4.604 4.604 9.048 90.00 90.00 90.00
Fractional coordinates of all 18 atoms:
Ti (0.000, 0.000, 0.496)
Ti (0.500, 0.500, 0.996)
Cr (0.000, 0.000, 0.167)
Cr (0.500, 0.500, 0.667)
Sb (0.000, 0.000, 0.833)
Sb (0.500, 0.500, 0.333)
O (0.697, 0.303, 0.164)
O (0.303, 0.697, 0.164)
O (0.803, 0.803, 0.664)
O (0.197, 0.197, 0.664)
O (0.695, 0.305, 0.502)
O (0.305, 0.695, 0.502)
O (0.805, 0.805, 0.002)
O (0.195, 0.195, 0.002)
O (0.693, 0.307, 0.835)
O (0.307, 0.693, 0.835)
O (0.807, 0.807, 0.335)
O (0.193, 0.193, 0.335)

Results
As for the electronic total energy: -14.56 eV/atom. For the density, the calculation gives 5.499 g/cm³. The spin magnetization comes out at 6.0 Bohr magnetons per cell.


(11)
A plane-wave DFT calculation with SCAN was carried out for a PBEsol-optimized structure of ScCrO2.

Lattice parameters (Å, degrees): 3.176 3.176 6.173 75.09 75.09 60.00
Fractional coordinates of all 4 atoms:
Sc (0.500, 0.500, 0.500)
Cr (0.000, 0.000, 0.000)
O (0.892, 0.892, 0.325)
O (0.108, 0.108, 0.675)

Results
As for the electronic total energy: -14.00 eV/atom. For the density, the calculation gives 4.158 g/cm³. The spin magnetization comes out at 4.0 Bohr magnetons per cell.


(12)
A plane-wave DFT calculation with SCAN was carried out for a PBEsol-optimized structure of TiCr2SeO.

Lattice parameters (Å, degrees): 4.064 3.840 3.840 90.00 90.00 90.00
Fractional coordinates of all 5 atoms:
Cr (0.000, 0.000, 0.500)
Cr (0.000, 0.500, 0.000)
O (0.000, 0.000, 0.000)
Se (0.500, 0.500, 0.500)
Ti (0.500, 0.000, 0.000)

Results
As for the electronic total energy: -16.49 eV/atom. For the density, the calculation gives 6.839 g/cm³. The spin magnetization comes out at 4.0 Bohr magnetons per cell.


Copy entry 12 word for word.
A plane-wave DFT calculation with SCAN was carried out for a PBEsol-optimized structure of TiCr2SeO.

Lattice parameters (Å, degrees): 4.064 3.840 3.840 90.00 90.00 90.00
Fractional coordinates of all 5 atoms:
Cr (0.000, 0.000, 0.500)
Cr (0.000, 0.500, 0.000)
O (0.000, 0.000, 0.000)
Se (0.500, 0.500, 0.500)
Ti (0.500, 0.000, 0.000)

Results
As for the electronic total energy: -16.49 eV/atom. For the density, the calculation gives 6.839 g/cm³. The spin magnetization comes out at 4.0 Bohr magnetons per cell.


- Look up the density of the third one.
  8.286 g/cm³


- The lowest electronic total energy belongs to which entry?
  CrTeRu2O